The following is a DFT calculation (PBE) of a geometry-optimized La2DyAg structure.

```
data_La2DyAg
_cell_length_a 3.4793
_cell_length_b 3.4793
_cell_length_c 35.3492
_cell_angle_alpha 90.00
_cell_angle_beta 90.00
_cell_angle_gamma 120.00
_space_group_name_H-M_alt 'R -3 m'
_space_group_IT_number 166
_space_group_name_Hall '-R 3 2"'
loop_
_atom_site_label
_atom_site_fract_x
_atom_site_fract_y
_atom_site_fract_z
_atom_site_occupancy
La1 0.0000 0.0000 0.0939 1
Dy1 0.0000 0.0000 0.0000 1
Ag1 0.0000 0.0000 0.5000 1
```

Properties
ΔE to the lowest computed polymorph: 0.296 eV per atom
magnetization: 0.00 μB per formula unit
raw total energy: -4.1527 eV/atom
energy of formation from the pure elements: 17 kJ/mol of atoms
crystal system: trigonal

The following is a DFT calculation (PBE) of a geometry-optimized ThReGe3 structure.

```
data_ThReGe3
_cell_length_a 12.904
_cell_length_b 12.343
_cell_length_c 5.378
_cell_angle_alpha 90.00
_cell_angle_beta 98.17
_cell_angle_gamma 90.00
_space_group_name_H-M_alt 'C 1 2/c 1'
_space_group_IT_number 15
loop_
_space_group_symop_operation_xyz
'x,y,z'
'-x,-y,-z'
'-x,y,-z+1/2'
'x,-y,z+1/2'
'x+1/2,y+1/2,z'
'-x+1/2,-y+1/2,-z'
'-x+1/2,y+1/2,-z+1/2'
'x+1/2,-y+1/2,z+1/2'
loop_
_atom_site_label
_atom_site_fract_x
_atom_site_fract_y
_atom_site_fract_z
_atom_site_occupancy
Th1 0.153 0.095 0.490 1
Re1 0.000 0.318 0.250 1
Re2 0.000 0.455 0.750 1
Ge1 0.074 0.164 0.965 1
Ge2 0.137 0.319 0.656 1
Ge3 0.152 0.431 0.117 1
```

Properties
magnetization: 0.00 μB per formula unit
raw total energy: -6.8416 eV/atom
energy of formation from the pure elements: -9 kJ/mol of atoms
crystal system: monoclinic

The following is a DFT calculation (PBE) of a geometry-optimized ZrPaPd structure.

```
data_ZrPaPd
_cell_length_a 3.145
_cell_length_b 3.145
_cell_length_c 12.961
_cell_angle_alpha 90.00
_cell_angle_beta 90.00
_cell_angle_gamma 90.00
_space_group_name_H-M_alt 'I 4 m m'
_space_group_IT_number 107
_space_group_name_Hall 'I 4 -2'
loop_
_atom_site_label
_atom_site_fract_x
_atom_site_fract_y
_atom_site_fract_z
_atom_site_occupancy
Zr1 0.000 0.000 0.000 1
Pa1 0.000 0.000 0.687 1
Pd1 0.000 0.000 0.357 1
```

Properties
ΔE to the lowest computed polymorph: 0.031 eV per atom
magnetization: 0.00 μB per formula unit
raw total energy: -8.0559 eV/atom
energy of formation from the pure elements: -30 kJ/mol of atoms
crystal system: tetragonal

The following is a DFT calculation (PBE) of a geometry-optimized SrNi3C structure.

```
data_SrNi3C
_cell_length_a 13.645
_cell_length_b 7.799
_cell_length_c 5.386
_cell_angle_alpha 90.00
_cell_angle_beta 101.43
_cell_angle_gamma 90.00
_space_group_name_H-M_alt 'C 1 2/c 1'
_space_group_IT_number 15
loop_
_space_group_symop_operation_xyz
'x,y,z'
'-x,-y,-z'
'-x,y,-z+1/2'
'x,-y,z+1/2'
'x+1/2,y+1/2,z'
'-x+1/2,-y+1/2,-z'
'-x+1/2,y+1/2,-z+1/2'
'x+1/2,-y+1/2,z+1/2'
loop_
_atom_site_label
_atom_site_fract_x
_atom_site_fract_y
_atom_site_fract_z
_atom_site_occupancy
Sr1 0.000 0.096 0.250 1
Sr2 0.000 0.376 0.750 1
Ni1 0.181 0.171 0.084 1
Ni2 0.186 0.175 0.596 1
Ni3 0.192 0.497 0.092 1
C1 0.154 0.336 0.325 1
```

Properties
ΔE to the lowest computed polymorph: 0.000 eV per atom
magnetization: 0.00 μB per formula unit
raw total energy: -5.5058 eV/atom
energy of formation from the pure elements: 14 kJ/mol of atoms
crystal system: monoclinic